This record from the Alexandria database describes a relaxed AcEuAgAs crystal. The functional is PBE.

Output
As for the magnetization: 7.65 μB/f.u. The calculation puts the formation enthalpy at 0 K at -673 meV/atom. The space-group type is F-43m, No. 216.

Cell and atoms, written as POSCAR:
```
AcEuAgAs
1.0
-1.090 -3.135 -4.298
2.628 -4.705 -0.666
-2.636 -4.700 0.667
Ac As Eu Ag
1 1 1 1
Direct
0.000 0.000 0.000
0.750 0.750 0.750
0.500 0.500 0.500
0.250 0.250 0.250
```